No. 1
This record from the Alexandria database describes crystalline Y3ScIr4 at its relaxed geometry. The functional is PBE.

Cell: 3.290 3.290 14.279 Å, 90.00 90.00 90.00°
Space group P4/mmm (No. 123)
Unique sites:
Y  0.000  0.000  0.000 [1 per cell]
Y  0.000  0.000  0.257 [2 per cell]
Sc  0.000  0.000  0.500 [1 per cell]
Ir  0.500  0.500  0.129 [2 per cell]
Ir  0.500  0.500  0.388 [2 per cell]

As for the volume: 19.3 Å³ per atom. Its formation energy from the elements is -820.6 meV per atom.


No. 2
This record from the Alexandria database describes crystalline Tc2GePtN at its relaxed geometry. The functional is PBE.

Cell: 4.717 4.717 4.531 Å, 90.00 90.00 90.00°
Space group P4/mmm (No. 123)
Unique sites:
Tc  0.000  0.500  0.000 [2 per cell]
Ge  0.000  0.000  0.000 [1 per cell]
Pt  0.000  0.000  0.500 [1 per cell]
N  0.500  0.500  0.500 [1 per cell]

As for the volume: 20.2 Å³ per atom. As for the formation energy without anion corrections: 2.326 eV/atom.


No. 3
This record from the Alexandria database describes crystalline Na2CdSnHg5 at its relaxed geometry. The functional is PBE.

Cell: 8.014 8.014 15.223 Å, 90.00 90.00 90.00°
Space group I4/mcm (No. 140)
Unique sites:
Na  0.125  0.375  0.000 [8 per cell]
Cd  0.000  0.500  0.250 [4 per cell]
Sn  0.000  0.000  0.250 [4 per cell]
Hg  0.000  0.000  0.000 [4 per cell]
Hg  0.209  0.291  0.356 [16 per cell]

As for the volume: 27.2 Å³ per atom. Its formation energy from the elements is -11.8 meV per atom.


No. 4
This record from the Alexandria database describes crystalline BePSe2I at its relaxed geometry. The functional is PBE.

Cell: 5.249 5.249 4.063 Å, 90.00 90.00 90.00°
Space group P4/mmm (No. 123)
Unique sites:
Be  0.000  0.000  0.000 [1 per cell]
P  0.000  0.000  0.500 [1 per cell]
Se  0.000  0.500  0.500 [2 per cell]
I  0.500  0.500  0.000 [1 per cell]

As for the volume: 22.4 Å³ per atom. As for the formation energy without anion corrections: 0.482 eV/atom.


No. 5
This record from the Alexandria database describes crystalline K3Tb2TmS6 at its relaxed geometry. The functional is PBE.

Cell: 7.009 12.140 7.729 Å, 90.00 107.60 90.00°
Space group C2/m (No. 12)
Unique sites:
K  0.000  0.000  0.000 [2 per cell]
K  0.000  0.333  0.000 [4 per cell]
Tb  0.000  0.167  0.500 [4 per cell]
Tm  0.000  0.500  0.500 [2 per cell]
S  0.232  0.335  0.701 [8 per cell]
S  0.238  0.000  0.701 [4 per cell]

As for the volume: 26.1 Å³ per atom. As for the formation energy without anion corrections: -1.888 eV/atom.


No. 6
This record from the Alexandria database describes crystalline DyTcGe2 at its relaxed geometry. The functional is PBE.

Cell: 6.243 10.397 5.741 Å, 90.00 122.26 90.00°
Space group C2/c (No. 15)
Unique sites:
Dy  0.000  0.134  0.250 [4 per cell]
Tc  0.000  0.464  0.250 [4 per cell]
Ge  0.247  0.362  0.088 [8 per cell]

As for the volume: 19.7 Å³ per atom. As for the polymorph energy (0 for the lowest one): 0.0 meV per atom. Its formation energy from the elements is -511.6 meV per atom.


no.,total magnetic moment (μB/f.u.),energy (eV per atom)
1,0.0,-8.47
2,5.7,-5.62
3,0.0,-1.02
4,0.0,-3.05
5,0.0,-5.37
6,0.0,-6.56